No. 1
## Sb3Os (GGA-PBE)

Data for a geometry-optimized Sb3Os structure.

Results
Energy in eV for the cell shown: -90.35

abc: 6.3061 6.3061 10.5264
angles: 90.00 90.00 90.00
Space group P4_2/mnm (No. 136)
Inequivalent atoms, fractional coordinates:
Sb: 0.2041 0.2041 0.0000 [4 per cell]
Sb: 0.2083 0.2083 0.3582 [8 per cell]
Os: 0.0000 0.0000 0.1873 [4 per cell]


No. 2
## Sb2Os (GGA-PBE)

Data for a geometry-optimized Sb2Os structure.

Results
Energy in eV for the cell shown: -110.16

abc: 3.6087 3.6087 37.2703
angles: 90.00 90.00 120.00
Space group P-3m1 (No. 164)
Inequivalent atoms, fractional coordinates:
Sb: 0.0000 0.0000 0.1217 [2 per cell]
Sb: 0.3333 0.6667 0.0456 [2 per cell]
Sb: 0.3333 0.6667 0.2133 [2 per cell]
Sb: 0.3333 0.6667 0.3827 [2 per cell]
Sb: 0.3333 0.6667 0.5454 [2 per cell]
Sb: 0.3333 0.6667 0.7085 [2 per cell]
Os: 0.0000 0.0000 0.0000 [1 per cell]
Os: 0.0000 0.0000 0.3375 [2 per cell]
Os: 0.0000 0.0000 0.5000 [1 per cell]
Os: 0.3333 0.6667 0.8325 [2 per cell]


No. 3
## Sb2Os (GGA-PBE)

Data for a geometry-optimized Sb2Os structure.

Results
Energy in eV for the cell shown: -39.06

abc: 6.0185 6.7468 3.2458
angles: 90.00 90.00 90.00
Space group Pnnm (No. 58)
Inequivalent atoms, fractional coordinates:
Sb: 0.1819 0.1424 0.0000 [4 per cell]
Os: 0.0000 0.5000 0.0000 [2 per cell]


No. 4
## Sc2Sb4Os (GGA-PBE)

Data for a geometry-optimized Sc2Sb4Os structure.

Results
Energy in eV for the cell shown: -41.01

abc: 4.6565 4.6565 7.6115
angles: 90.00 90.00 90.00
Space group P4/mmm (No. 123)
Inequivalent atoms, fractional coordinates:
Sc: 0.0000 0.0000 0.0000 [1 per cell]
Sc: 0.5000 0.5000 0.5000 [1 per cell]
Sb: 0.0000 0.5000 0.2357 [4 per cell]
Os: 0.5000 0.5000 0.0000 [1 per cell]


No. 5
## ScSbOs2 (GGA-PBE)

Data for a geometry-optimized ScSbOs2 structure.

Results
Energy in eV for the cell shown: -126.16

abc: 6.5023 6.5023 6.5023
angles: 90.00 90.00 90.00
Space group F-43m (No. 216)
Inequivalent atoms, fractional coordinates:
Sc: 0.0000 0.0000 0.0000 [4 per cell]
Sb: 0.2500 0.2500 0.7500 [4 per cell]
Os: 0.0000 0.0000 0.5000 [4 per cell]
Os: 0.2500 0.2500 0.2500 [4 per cell]


No. 6
## Tm3Sc3Sb2Os (GGA-PBE)

Data for a geometry-optimized Tm3Sc3Sb2Os structure.

Results
Energy in eV for the cell shown: -57.31

abc: 7.9307 7.9307 4.0312
angles: 90.00 90.00 120.00
Space group P-62m (No. 189)
Inequivalent atoms, fractional coordinates:
Tm: 0.0000 0.7572 0.0000 [3 per cell]
Sc: 0.0000 0.3890 0.5000 [3 per cell]
Sb: 0.3333 0.6667 0.0000 [2 per cell]
Os: 0.0000 0.0000 0.5000 [1 per cell]


No. 7
## Tm3Sc3Sb2Os (GGA-PBE)

Data for a geometry-optimized Tm3Sc3Sb2Os structure.

Results
Energy in eV for the cell shown: -58.47

abc: 7.7713 7.7713 4.1525
angles: 90.00 90.00 120.00
Space group P-62m (No. 189)
Inequivalent atoms, fractional coordinates:
Tm: 0.0000 0.3907 0.0000 [3 per cell]
Sc: 0.0000 0.7704 0.5000 [3 per cell]
Sb: 0.3333 0.6667 0.5000 [2 per cell]
Os: 0.0000 0.0000 0.0000 [1 per cell]


No. 8
## Y3TmSc2Sb2Os (GGA-PBE)

Data for a geometry-optimized Y3TmSc2Sb2Os structure.

Results
Energy in eV for the cell shown: -125.38

abc: 4.1968 13.7073 7.9482
angles: 90.00 90.00 90.00
Space group Amm2 (No. 38)
Inequivalent atoms, fractional coordinates:
Y: 0.0000 0.0000 0.0000 [2 per cell]
Y: 0.0000 0.1992 0.5890 [4 per cell]
Tm: 0.5000 0.0000 0.6200 [2 per cell]
Sc: 0.5000 0.1148 0.2761 [4 per cell]
Sb: 0.5000 0.1685 0.8942 [4 per cell]
Os: 0.0000 0.0000 0.3793 [2 per cell]


No. 9
## YTm3Sc2Sb2Os (GGA-PBE)

Data for a geometry-optimized YTm3Sc2Sb2Os structure.

Results
Energy in eV for the cell shown: -115.47

abc: 4.1028 13.8559 7.9722
angles: 90.00 90.00 90.00
Space group Amm2 (No. 38)
Inequivalent atoms, fractional coordinates:
Y: 0.0000 0.0000 0.0000 [2 per cell]
Tm: 0.5000 0.0000 0.6399 [2 per cell]
Tm: 0.5000 0.1193 0.2779 [4 per cell]
Sc: 0.0000 0.1933 0.5883 [4 per cell]
Sb: 0.5000 0.1709 0.8940 [4 per cell]
Os: 0.0000 0.0000 0.4059 [2 per cell]


No. 10
## Y2TmSc3Sb2Os (GGA-PBE)

Data for a geometry-optimized Y2TmSc3Sb2Os structure.

Results
Energy in eV for the cell shown: -125.28

abc: 4.1769 13.5278 7.8127
angles: 90.00 90.00 90.00
Space group Amm2 (No. 38)
Inequivalent atoms, fractional coordinates:
Y: 0.0000 0.1977 0.0000 [4 per cell]
Tm: 0.0000 0.0000 0.5894 [2 per cell]
Sc: 0.5000 0.0000 0.9721 [2 per cell]
Sc: 0.5000 0.1141 0.3127 [4 per cell]
Sb: 0.5000 0.1655 0.6972 [4 per cell]
Os: 0.0000 0.0000 0.2028 [2 per cell]


No. 11
## SbOsSe (GGA-PBE)

Data for a geometry-optimized SbOsSe structure.

Results
Energy in eV for the cell shown: -77.52

abc: 6.4467 6.3654 6.4901
angles: 90.00 112.97 90.00
Space group P2_1/c (No. 14)
Inequivalent atoms, fractional coordinates:
Sb: 0.1440 0.1363 0.3798 [4 per cell]
Os: 0.2871 0.5056 0.3003 [4 per cell]
Se: 0.3494 0.6335 0.6827 [4 per cell]


No. 12
## Sn2Sb2Os3 (GGA-PBE)

Data for a geometry-optimized Sn2Sb2Os3 structure.

Results
Energy in eV for the cell shown: -141.82

abc: 4.5334 4.5334 22.8845
angles: 90.00 90.00 120.00
Space group R3m (No. 160, hexagonal axes)
Inequivalent atoms, fractional coordinates:
Sn: 0.0000 0.0000 0.0000 [3 per cell]
Sn: 0.0000 0.0000 0.4919 [3 per cell]
Sb: 0.0000 0.0000 0.2419 [3 per cell]
Sb: 0.0000 0.0000 0.7489 [3 per cell]
Os: 0.0000 0.0000 0.3679 [3 per cell]
Os: 0.0000 0.0000 0.6206 [3 per cell]
Os: 0.0000 0.0000 0.8743 [3 per cell]


No. 13
## Sr2SbOs2 (GGA-PBE)

Data for a geometry-optimized Sr2SbOs2 structure.

Results
Energy in eV for the cell shown: -106.92

abc: 4.2618 11.0219 12.3332
angles: 90.00 90.00 90.00
Space group Cmcm (No. 63)
Inequivalent atoms, fractional coordinates:
Sr: 0.0000 0.1260 0.1004 [8 per cell]
Sb: 0.0000 0.4288 0.2500 [4 per cell]
Os: 0.0000 0.1691 0.6514 [8 per cell]


No. 14
## TaSbOs (GGA-PBE)

Data for a geometry-optimized TaSbOs structure.

Results
Energy in eV for the cell shown: -79.96

abc: 7.0383 7.0383 3.8889
angles: 90.00 90.00 120.00
Space group P-62m (No. 189)
Inequivalent atoms, fractional coordinates:
Ta: 0.0000 0.6055 0.0000 [3 per cell]
Sb: 0.0000 0.2714 0.5000 [3 per cell]
Os: 0.0000 0.0000 0.0000 [1 per cell]
Os: 0.3333 0.6667 0.5000 [2 per cell]


No. 15
## TaSbOs (GGA-PBE)

Data for a geometry-optimized TaSbOs structure.

Results
Energy in eV for the cell shown: -53.07

abc: 4.6426 4.6426 5.6567
angles: 90.00 90.00 120.00
Space group P6_3/mmc (No. 194)
Inequivalent atoms, fractional coordinates:
Ta: 0.0000 0.0000 0.0000 [2 per cell]
Sb: 0.3333 0.6667 0.2500 [2 per cell]
Os: 0.3333 0.6667 0.7500 [2 per cell]


No. 16
## TaSbOs (GGA-PBE)

Data for a geometry-optimized TaSbOs structure.

Results
Energy in eV for the cell shown: -53.63

abc: 4.4594 4.4594 6.5966
angles: 90.00 90.00 120.00
Space group P6_3mc (No. 186)
Inequivalent atoms, fractional coordinates:
Ta: 0.0000 0.0000 0.0000 [2 per cell]
Sb: 0.3333 0.6667 0.2660 [2 per cell]
Os: 0.3333 0.6667 0.8721 [2 per cell]


No. 17
## TaSbOs (GGA-PBE)

Data for a geometry-optimized TaSbOs structure.

Results
Energy in eV for the cell shown: -107.46

abc: 5.9633 4.3774 8.6073
angles: 90.00 90.00 90.00
Space group Pnma (No. 62)
Inequivalent atoms, fractional coordinates:
Ta: 0.2290 0.2500 0.1695 [4 per cell]
Sb: 0.0750 0.7500 0.3599 [4 per cell]
Os: 0.1564 0.7500 0.9843 [4 per cell]


No. 18
## TaSbOs (GGA-PBE)

Data for a geometry-optimized TaSbOs structure.

Results
Energy in eV for the cell shown: -78.75

abc: 6.6528 6.6528 4.2519
angles: 90.00 90.00 120.00
Space group P-62m (No. 189)
Inequivalent atoms, fractional coordinates:
Ta: 0.0000 0.5718 0.0000 [3 per cell]
Sb: 0.0000 0.0000 0.0000 [1 per cell]
Sb: 0.3333 0.6667 0.5000 [2 per cell]
Os: 0.0000 0.2461 0.5000 [3 per cell]


No. 19
## TaSbOs (GGA-PBE)

Data for a geometry-optimized TaSbOs structure.

Results
Energy in eV for the cell shown: -106.17

abc: 6.5466 4.3467 7.7417
angles: 90.00 90.00 90.00
Space group Pnma (No. 62)
Inequivalent atoms, fractional coordinates:
Ta: 0.0142 0.2500 0.2225 [4 per cell]
Sb: 0.2255 0.2500 0.9067 [4 per cell]
Os: 0.1224 0.2500 0.5764 [4 per cell]


No. 20
## TaSbOs2 (GGA-PBE)

Data for a geometry-optimized TaSbOs2 structure.

Results
Energy in eV for the cell shown: -144.83

abc: 6.4579 6.4579 6.4579
angles: 90.00 90.00 90.00
Space group F-43m (No. 216)
Inequivalent atoms, fractional coordinates:
Ta: 0.0000 0.0000 0.0000 [4 per cell]
Sb: 0.2500 0.2500 0.7500 [4 per cell]
Os: 0.0000 0.0000 0.5000 [4 per cell]
Os: 0.2500 0.2500 0.2500 [4 per cell]


For each record above, in turn, the calculated M_tot values are 0.002, 0.013, 0.001, 0.033, 0.021, 0.068, 0.016, 0.026, 0.020, 0.025, 0.002, 0.021, 1.124, 0.002, 0.006, 0.005, 0.001, 0.275, 0.000, 0.010 μB per formula unit.